{"formula": "Dy2Ga2IrPd3", "functional": "PBE", "state": "relaxed", "lattice_angstrom": [[4.380, 0.000, 0.000], [-2.190, 3.793, 0.000], [0.000, 0.000, 9.084]], "species": ["Dy", "Dy", "Ga", "Ga", "Ir", "Pd", "Pd", "Pd"], "frac_coords": [[0.000, 0.000, 0.000], [0.333, 0.667, 0.490], [0.667, 0.333, 0.266], [0.667, 0.333, 0.749], [0.000, 0.000, 0.323], [0.000, 0.000, 0.667], [0.333, 0.667, 0.159], [0.333, 0.667, 0.827]], "sg": "P3m1", "dft_energy_ev_per_atom": -5.80}